# 1
# ScCoCuSi GGA-PBE optimized geometry
data_ScCoCuSi
_chemical_formula_sum 'Sc4 Co4 Cu4 Si4'
_cell_length_a 5.958
_cell_length_b 5.958
_cell_length_c 5.958
_cell_angle_alpha 90.00
_cell_angle_beta 90.00
_cell_angle_gamma 90.00
_symmetry_space_group_name_H-M 'F -4 3 m'
_symmetry_Int_Tables_number 216
_symmetry_space_group_name_Hall 'F -4 2 3'
loop_
_atom_site_label
_atom_site_type_symbol
_atom_site_fract_x
_atom_site_fract_y
_atom_site_fract_z
Sc1 Sc 0.000 0.000 0.000
Co1 Co 0.250 0.250 0.750
Cu1 Cu 0.250 0.250 0.250
Si1 Si 0.000 0.000 0.500
# - Offset from the most stable computed form: 0.000 eV per atom
# - M_tot: 0.00 μB per atom



# 2
# Ta4AsAuN2 GGA-PBE optimized geometry
data_Ta4AsAuN2
_chemical_formula_sum 'Ta4 As1 Au1 N2'
_cell_length_a 3.2527
_cell_length_b 3.2527
_cell_length_c 12.6325
_cell_angle_alpha 90.00
_cell_angle_beta 90.00
_cell_angle_gamma 120.00
_symmetry_space_group_name_H-M 'P -6 m 2'
_symmetry_Int_Tables_number 187
_symmetry_space_group_name_Hall 'P -6 2'
loop_
_atom_site_label
_atom_site_type_symbol
_atom_site_fract_x
_atom_site_fract_y
_atom_site_fract_z
Ta1 Ta 0.0000 0.0000 0.1488
Ta2 Ta 0.6667 0.3333 0.3262
As1 As 0.6667 0.3333 0.0000
Au1 Au 0.0000 0.0000 0.5000
N1 N 0.3333 0.6667 0.2435
# - M_tot: 0.00 μB per atom



# 3
# Tb2Pm3Sb3 GGA-PBE optimized geometry
data_Tb2Pm3Sb3
_chemical_formula_sum 'Tb4 Pm6 Sb6'
_cell_length_a 9.1442
_cell_length_b 9.1442
_cell_length_c 6.4193
_cell_angle_alpha 90.00
_cell_angle_beta 90.00
_cell_angle_gamma 120.00
_symmetry_space_group_name_H-M 'P 63/m c m'
_symmetry_Int_Tables_number 193
_symmetry_space_group_name_Hall '-P 6c 2'
loop_
_atom_site_label
_atom_site_type_symbol
_atom_site_fract_x
_atom_site_fract_y
_atom_site_fract_z
Tb1 Tb 0.3333 0.6667 0.0000
Pm1 Pm 0.0000 0.2482 0.2500
Sb1 Sb 0.0000 0.3912 0.7500
# - M_tot: 0.03 μB per atom



# 4
# Mg2CdAg GGA-PBE optimized geometry
data_Mg2CdAg
_chemical_formula_sum 'Mg2 Cd1 Ag1'
_cell_length_a 3.366
_cell_length_b 4.800
_cell_length_c 4.801
_cell_angle_alpha 90.00
_cell_angle_beta 90.00
_cell_angle_gamma 90.00
_symmetry_space_group_name_H-M 'P m m 2'
_symmetry_Int_Tables_number 25
_symmetry_space_group_name_Hall 'P 2 -2'
loop_
_atom_site_label
_atom_site_type_symbol
_atom_site_fract_x
_atom_site_fract_y
_atom_site_fract_z
Mg1 Mg 0.000 0.000 0.000
Mg2 Mg 0.000 0.500 0.495
Cd1 Cd 0.500 0.500 0.995
Ag1 Ag 0.500 0.000 0.500
# - Offset from the most stable computed form: 0.000 eV per atom



# 5
# LaNdBi4Pt2 GGA-PBE optimized geometry
data_LaNdBi4Pt2
_chemical_formula_sum 'La1 Nd1 Bi4 Pt2'
_cell_length_a 4.716
_cell_length_b 4.716
_cell_length_c 9.716
_cell_angle_alpha 90.00
_cell_angle_beta 90.00
_cell_angle_gamma 90.00
_symmetry_space_group_name_H-M 'P 4 m m'
_symmetry_Int_Tables_number 99
_symmetry_space_group_name_Hall 'P 4 -2'
loop_
_atom_site_label
_atom_site_type_symbol
_atom_site_fract_x
_atom_site_fract_y
_atom_site_fract_z
La1 La 0.000 0.000 0.000
Nd1 Nd 0.500 0.500 0.547
Bi1 Bi 0.000 0.000 0.601
Bi2 Bi 0.000 0.500 0.276
Bi3 Bi 0.500 0.500 0.939
Pt1 Pt 0.000 0.500 0.770
# - M_tot: 0.00 μB per atom



# 6
# BeTePdO GGA-PBE optimized geometry
data_BeTePdO
_chemical_formula_sum 'Be8 Te8 Pd8 O8'
_cell_length_a 7.384
_cell_length_b 7.444
_cell_length_c 10.285
_cell_angle_alpha 90.00
_cell_angle_beta 90.00
_cell_angle_gamma 90.00
_symmetry_space_group_name_H-M 'P b c a'
_symmetry_Int_Tables_number 61
_symmetry_space_group_name_Hall '-P 2ac 2ab'
loop_
_atom_site_label
_atom_site_type_symbol
_atom_site_fract_x
_atom_site_fract_y
_atom_site_fract_z
Be1 Be 0.074 0.197 0.086
Te1 Te 0.226 0.593 0.471
Pd1 Pd 0.243 0.511 0.727
O1 O 0.125 0.242 0.224
# - Offset from the most stable computed form: 0.902 eV per atom



# 7
# Y2Tl2Ag GGA-PBE optimized geometry
data_Y2Tl2Ag
_chemical_formula_sum 'Y4 Tl4 Ag2'
_cell_length_a 4.365
_cell_length_b 4.365
_cell_length_c 14.221
_cell_angle_alpha 90.00
_cell_angle_beta 90.00
_cell_angle_gamma 90.00
_symmetry_space_group_name_H-M 'I 4/m m m'
_symmetry_Int_Tables_number 139
_symmetry_space_group_name_Hall '-I 4 2'
loop_
_atom_site_label
_atom_site_type_symbol
_atom_site_fract_x
_atom_site_fract_y
_atom_site_fract_z
Y1 Y 0.000 0.000 0.098
Tl1 Tl 0.000 0.500 0.250
Ag1 Ag 0.000 0.000 0.500
# - M_tot: 0.00 μB per atom



# 8
# SrHfFe2 GGA-PBE optimized geometry
data_SrHfFe2
_chemical_formula_sum 'Sr4 Hf4 Fe8'
_cell_length_a 6.485
_cell_length_b 6.485
_cell_length_c 6.485
_cell_angle_alpha 90.00
_cell_angle_beta 90.00
_cell_angle_gamma 90.00
_symmetry_space_group_name_H-M 'F -4 3 m'
_symmetry_Int_Tables_number 216
_symmetry_space_group_name_Hall 'F -4 2 3'
loop_
_atom_site_label
_atom_site_type_symbol
_atom_site_fract_x
_atom_site_fract_y
_atom_site_fract_z
Sr1 Sr 0.000 0.000 0.000
Hf1 Hf 0.250 0.250 0.250
Fe1 Fe 0.000 0.000 0.500
Fe2 Fe 0.250 0.250 0.750
# - M_tot: 0.98 μB per atom



# 9
# PmH3Pt GGA-PBE optimized geometry
data_PmH3Pt
_chemical_formula_sum 'Pm4 H12 Pt4'
_cell_length_a 3.930
_cell_length_b 11.803
_cell_length_c 4.748
_cell_angle_alpha 90.00
_cell_angle_beta 90.00
_cell_angle_gamma 90.00
_symmetry_space_group_name_H-M 'C m c m'
_symmetry_Int_Tables_number 63
_symmetry_space_group_name_Hall '-C 2c 2'
loop_
_atom_site_label
_atom_site_type_symbol
_atom_site_fract_x
_atom_site_fract_y
_atom_site_fract_z
Pm1 Pm 0.000 0.138 0.250
H1 H 0.000 0.072 0.750
H2 H 0.000 0.314 0.001
Pt1 Pt 0.000 0.426 0.250
# - M_tot: 0.00 μB per atom



# 10
# LaNdSbBr2 GGA-PBE optimized geometry
data_LaNdSbBr2
_chemical_formula_sum 'La1 Nd1 Sb1 Br2'
_cell_length_a 4.4156
_cell_length_b 4.4156
_cell_length_c 11.1416
_cell_angle_alpha 90.00
_cell_angle_beta 90.00
_cell_angle_gamma 120.00
_symmetry_space_group_name_H-M 'P 3 m 1'
_symmetry_Int_Tables_number 156
_symmetry_space_group_name_Hall 'P 3 -2"'
loop_
_atom_site_label
_atom_site_type_symbol
_atom_site_fract_x
_atom_site_fract_y
_atom_site_fract_z
La1 La 0.0000 0.0000 0.0000
Nd1 Nd 0.3333 0.6667 0.3260
Sb1 Sb 0.6667 0.3333 0.1663
Br1 Br 0.0000 0.0000 0.4810
Br2 Br 0.3333 0.6667 0.8408
# - M_tot: 0.00 μB per atom



# 11
# LiCdFeSi GGA-PBE optimized geometry
data_LiCdFeSi
_chemical_formula_sum 'Li4 Cd4 Fe4 Si4'
_cell_length_a 6.082
_cell_length_b 6.082
_cell_length_c 6.082
_cell_angle_alpha 90.00
_cell_angle_beta 90.00
_cell_angle_gamma 90.00
_symmetry_space_group_name_H-M 'F -4 3 m'
_symmetry_Int_Tables_number 216
_symmetry_space_group_name_Hall 'F -4 2 3'
loop_
_atom_site_label
_atom_site_type_symbol
_atom_site_fract_x
_atom_site_fract_y
_atom_site_fract_z
Li1 Li 0.000 0.000 0.000
Cd1 Cd 0.250 0.250 0.250
Fe1 Fe 0.250 0.250 0.750
Si1 Si 0.000 0.000 0.500
# - Offset from the most stable computed form: 0.079 eV per atom
# - M_tot: 0.52 μB per atom



# 12
# Ta4Sb5As5 GGA-PBE optimized geometry
data_Ta4Sb5As5
_chemical_formula_sum 'Ta8 Sb10 As10'
_cell_length_a 9.761
_cell_length_b 9.761
_cell_length_c 6.658
_cell_angle_alpha 90.00
_cell_angle_beta 90.00
_cell_angle_gamma 90.00
_symmetry_space_group_name_H-M 'I -4'
_symmetry_Int_Tables_number 82
_symmetry_space_group_name_Hall 'I -4'
loop_
_atom_site_label
_atom_site_type_symbol
_atom_site_fract_x
_atom_site_fract_y
_atom_site_fract_z
Ta1 Ta 0.073 0.211 0.278
Sb1 Sb 0.000 0.500 0.250
Sb2 Sb 0.003 0.709 0.682
As1 As 0.000 0.000 0.500
As2 As 0.162 0.804 0.079
# - M_tot: 0.00 μB per atom



Computed uncorrected energy, in the same sequence as the records: -6.04; -9.55; -5.45; -1.87; -5.43; -4.78; -3.84; -6.19; -4.78; -5.02; -3.99; -6.37 eV per atom.